GGA+U CrRe2F, optimized geometry; D(E_F) = 1.188 states/eV per atom; raw total energy = -7.36 eV per atom; total magnetization = 0.00 μB/f.u.; V = 13.58 Å³ per atom; SG = I-42d (122)
1.0
-2.0039 -4.4167 4.1402
5.7312 -2.7887 -0.2010
2.6808 -2.0696 4.0006
Cr Re F
2 4 2
Direct
0.7500 0.2500 0.5000
0.0000 0.0000 0.0000
0.5962 0.1250 0.2500
0.3750 0.4038 0.7500
0.8750 0.8462 0.7500
0.1538 0.6250 0.2500
0.2500 0.7500 0.5000
0.5000 0.5000 0.0000